1.
VASP calculation (PBE-GGA) on a geometry-optimized VAsIr3 structure.

Unit cell a=4.547 b=4.547 c=4.547 alpha=90.00 beta=90.00 gamma=90.00
Fractional positions:
V1 0.000 0.000 0.000
As1 0.500 0.500 0.500
Ir1 0.000 0.000 0.500
Ir2 0.000 0.500 0.000
Ir3 0.500 0.000 0.000

Calculated values
- ΔH_f (0 K): 1258 meV per atom
- Space group: Pm-3m, No. 221
- Total moment: 0.00 μB/f.u.

2.
VASP calculation (PBE-GGA) on a geometry-optimized AsIrW2 structure.

Unit cell a=2.806 b=4.100 c=5.523 alpha=90.00 beta=102.38 gamma=90.00
Fractional positions:
As1 0.000 0.000 0.000
Ir1 0.000 0.000 0.500
W1 0.419 0.500 0.246
W2 0.581 0.500 0.754

Calculated values
- ΔH_f (0 K): 151 meV per atom
- Space group: P2/m, No. 10
- Total moment: 0.00 μB/f.u.

3.
VASP calculation (PBE-GGA) on a geometry-optimized AsIrW2 structure.

Unit cell a=2.950 b=2.950 c=6.982 alpha=90.00 beta=90.00 gamma=90.00
Fractional positions:
As1 0.000 0.000 0.000
Ir1 0.000 0.000 0.500
W1 0.500 0.500 0.234
W2 0.500 0.500 0.766

Calculated values
- ΔH_f (0 K): 52 meV per atom
- Space group: P4/mmm, No. 123
- Total moment: 0.00 μB/f.u.

4.
VASP calculation (PBE-GGA) on a geometry-optimized As2IrW structure.

Unit cell a=3.978 b=3.978 c=8.023 alpha=90.00 beta=90.00 gamma=90.00
Fractional positions:
As1 0.000 0.000 0.000
As2 0.000 0.500 0.250
As3 0.500 0.000 0.750
As4 0.500 0.500 0.500
Ir1 0.000 0.500 0.750
Ir2 0.500 0.000 0.250
W1 0.000 0.000 0.500
W2 0.500 0.500 0.000

Calculated values
- ΔH_f (0 K): 419 meV per atom
- Space group: I-4m2, No. 119
- Total moment: 0.00 μB/f.u.

5.
VASP calculation (PBE-GGA) on a geometry-optimized As2IrW2 structure.

Unit cell a=7.158 b=7.158 c=3.073 alpha=90.00 beta=90.00 gamma=90.00
Fractional positions:
As1 0.153 0.347 0.000
As2 0.347 0.847 0.000
As3 0.653 0.153 0.000
As4 0.847 0.653 0.000
Ir1 0.000 0.000 0.000
Ir2 0.500 0.500 0.000
W1 0.145 0.645 0.500
W2 0.355 0.145 0.500
W3 0.645 0.855 0.500
W4 0.855 0.355 0.500

Calculated values
- ΔH_f (0 K): 473 meV per atom
- Space group: P4/mbm, No. 127
- Total moment: 0.00 μB/f.u.

6.
VASP calculation (PBE-GGA) on a geometry-optimized As2IrW structure.

Unit cell a=2.832 b=4.132 c=5.592 alpha=90.00 beta=90.00 gamma=90.00
Fractional positions:
As1 0.000 0.000 0.000
As2 0.500 0.500 0.358
Ir1 0.000 0.000 0.549
W1 0.500 0.500 0.807

Calculated values
- ΔH_f (0 K): 115 meV per atom
- Space group: Pmm2, No. 25
- Total moment: 0.00 μB/f.u.

7.
VASP calculation (PBE-GGA) on a geometry-optimized As2IrW2 structure.

Unit cell a=4.380 b=4.380 c=9.083 alpha=90.00 beta=90.00 gamma=90.00
Fractional positions:
As1 0.000 0.000 0.126
As2 0.000 0.000 0.874
As3 0.500 0.500 0.374
As4 0.500 0.500 0.626
Ir1 0.000 0.000 0.500
Ir2 0.500 0.500 0.000
W1 0.000 0.500 0.250
W2 0.000 0.500 0.750
W3 0.500 0.000 0.250
W4 0.500 0.000 0.750

Calculated values
- ΔH_f (0 K): 641 meV per atom
- Space group: I4/mmm, No. 139
- Total moment: 0.00 μB/f.u.

8.
VASP calculation (PBE-GGA) on a geometry-optimized As2IrW structure.

Unit cell a=4.366 b=4.366 c=3.206 alpha=90.00 beta=90.00 gamma=90.00
Fractional positions:
As1 0.000 0.500 0.000
As2 0.500 0.000 0.000
Ir1 0.000 0.000 0.500
W1 0.500 0.500 0.500

Calculated values
- ΔH_f (0 K): 193 meV per atom
- Space group: P4/mmm, No. 123
- Total moment: 0.00 μB/f.u.